(1)
CrRu2: optimized geometry, PBE-GGA.

Output
**Energy of formation from the pure elements**: 0.819 eV/f.u.

Cell and atoms, written as CIF:
```
data_CrRu2
_space_group_name_H-M_alt 'I 41/a m d'
_space_group_IT_number 141
_cell_length_a 2.7204
_cell_length_b 2.7204
_cell_length_c 22.3499
_cell_angle_alpha 90.00
_cell_angle_beta 90.00
_cell_angle_gamma 90.00
loop_
_space_group_symop_operation_xyz
'x,y,z'
'-x,-y,-z'
'-y+1/4,x+3/4,z+1/4'
'y+1/4,-x+3/4,-z+1/4'
'-x+1/2,-y,z+1/2'
'x+1/2,y,-z+1/2'
'y+1/4,-x+1/4,z+3/4'
'-y+1/4,x+1/4,-z+3/4'
'x,-y,-z'
'-x,y,z'
'-y+1/4,-x+1/4,-z+3/4'
'y+1/4,x+1/4,z+3/4'
'-x+1/2,y,-z+1/2'
'x+1/2,-y,z+1/2'
'y+1/4,x+3/4,-z+1/4'
'-y+1/4,-x+3/4,z+1/4'
'x+1/2,y+1/2,z+1/2'
'-x+1/2,-y+1/2,-z+1/2'
'-y+3/4,x+1/4,z+3/4'
'y+3/4,-x+1/4,-z+3/4'
'-x,-y+1/2,z'
'x,y+1/2,-z'
'y+3/4,-x+3/4,z+1/4'
'-y+3/4,x+3/4,-z+1/4'
'x+1/2,-y+1/2,-z+1/2'
'-x+1/2,y+1/2,z+1/2'
'-y+3/4,-x+3/4,-z+1/4'
'y+3/4,x+3/4,z+1/4'
'-x,y+1/2,-z'
'x,-y+1/2,z'
'y+3/4,x+1/4,-z+3/4'
'-y+3/4,-x+1/4,z+3/4'
loop_
_atom_site_label
_atom_site_fract_x
_atom_site_fract_y
_atom_site_fract_z
Cr1 0.0000 0.2500 0.3750
Ru1 0.0000 0.2500 0.8002
```

***

(2)
Sc2Zn2Rh: optimized geometry, PBE-GGA.

Output
**Energy above the lowest structure with this stoichiometry**: 217 meV/atom
**Energy of formation from the pure elements**: -1.487 eV/f.u.

Cell and atoms, written as CIF:
```
data_Sc2Zn2Rh
_space_group_name_H-M_alt 'I 4/m m m'
_space_group_IT_number 139
_space_group_name_Hall '-I 4 2'
_cell_length_a 3.3852
_cell_length_b 3.3852
_cell_length_c 16.5423
_cell_angle_alpha 90.00
_cell_angle_beta 90.00
_cell_angle_gamma 90.00
loop_
_atom_site_label
_atom_site_fract_x
_atom_site_fract_y
_atom_site_fract_z
Sc1 0.0000 0.0000 0.0921
Zn1 0.0000 0.5000 0.2500
Rh1 0.0000 0.0000 0.5000
```

***

(3)
CeInHg4: optimized geometry, PBE-GGA.

Output
**Energy above the lowest structure with this stoichiometry**: 29 meV/atom
**Energy of formation from the pure elements**: -1.174 eV/f.u.

Cell and atoms, written as CIF:
```
data_CeInHg4
_space_group_name_H-M_alt 'P 1 21/m 1'
_space_group_IT_number 11
_cell_length_a 5.3587
_cell_length_b 7.0530
_cell_length_c 8.2374
_cell_angle_alpha 90.00
_cell_angle_beta 95.42
_cell_angle_gamma 90.00
loop_
_space_group_symop_operation_xyz
'x,y,z'
'-x,-y,-z'
'-x,y+1/2,-z'
'x,-y+1/2,z'
loop_
_atom_site_label
_atom_site_fract_x
_atom_site_fract_y
_atom_site_fract_z
Ce1 0.2149 0.2500 0.3492
In1 0.2142 0.7500 0.3293
Hg1 0.0000 0.0000 0.0000
Hg2 0.2897 0.0055 0.6824
Hg3 0.4994 0.7500 0.9868
```

***

(4)
ZnReTc4: optimized geometry, PBE-GGA.

Output
**Energy above the lowest structure with this stoichiometry**: 0 meV/atom
**Energy of formation from the pure elements**: 1.252 eV/f.u.

Cell and atoms, written as CIF:
```
data_ZnReTc4
_space_group_name_H-M_alt 'P 1'
_space_group_IT_number 1
_cell_length_a 4.3251
_cell_length_b 4.3288
_cell_length_c 5.4147
_cell_angle_alpha 90.16
_cell_angle_beta 90.00
_cell_angle_gamma 119.93
loop_
_space_group_symop_operation_xyz
'x,y,z'
loop_
_atom_site_label
_atom_site_fract_x
_atom_site_fract_y
_atom_site_fract_z
Zn1 0.0000 0.0000 0.0000
Re1 0.9986 0.9999 0.5058
Tc1 0.3314 0.6670 0.6222
Tc2 0.3338 0.6666 0.1437
Tc3 0.6664 0.3330 0.8339
Tc4 0.6656 0.3336 0.3166
```

***

(5)
Pm6YHo4: optimized geometry, PBE-GGA.

Output
**Energy above the lowest structure with this stoichiometry**: 0 meV/atom
**Energy of formation from the pure elements**: 3.377 eV/f.u.

Cell and atoms, written as CIF:
```
data_Pm6YHo4
_space_group_name_H-M_alt 'I -4 2 m'
_space_group_IT_number 121
_space_group_name_Hall 'I -4 2'
_cell_length_a 6.6547
_cell_length_b 6.6547
_cell_length_c 17.1684
_cell_angle_alpha 90.00
_cell_angle_beta 90.00
_cell_angle_gamma 90.00
loop_
_atom_site_label
_atom_site_fract_x
_atom_site_fract_y
_atom_site_fract_z
Pm1 0.0000 0.5000 0.0000
Pm2 0.1891 0.1891 0.1769
Y1 0.0000 0.0000 0.0000
Ho1 0.1793 0.1793 0.3734
```

***

(6)
Zn5Ni4Au: optimized geometry, PBE-GGA.

Output
**Energy of formation from the pure elements**: -2.246 eV/f.u.

Cell and atoms, written as CIF:
```
data_Zn5Ni4Au
_space_group_name_H-M_alt 'P 4/m m m'
_space_group_IT_number 123
_space_group_name_Hall '-P 4 2'
_cell_length_a 2.7611
_cell_length_b 2.7611
_cell_length_c 17.0059
_cell_angle_alpha 90.00
_cell_angle_beta 90.00
_cell_angle_gamma 90.00
loop_
_atom_site_label
_atom_site_fract_x
_atom_site_fract_y
_atom_site_fract_z
Zn1 0.0000 0.0000 0.0000
Zn2 0.0000 0.0000 0.1876
Zn3 0.0000 0.0000 0.3766
Ni1 0.5000 0.5000 0.0940
Ni2 0.5000 0.5000 0.2825
Au1 0.5000 0.5000 0.5000
```

***

(7)
Er8As3Se4N: optimized geometry, PBE-GGA.

Output
**Energy relative to the elements, uncorrected**: -26.03 eV per formula unit

Cell and atoms, written as CIF:
```
data_Er8As3Se4N
_space_group_name_H-M_alt 'R -3 m'
_space_group_IT_number 166
_space_group_name_Hall '-R 3 2"'
_cell_length_a 7.9480
_cell_length_b 7.9480
_cell_length_c 19.7632
_cell_angle_alpha 90.00
_cell_angle_beta 90.00
_cell_angle_gamma 120.00
loop_
_atom_site_label
_atom_site_fract_x
_atom_site_fract_y
_atom_site_fract_z
Er1 0.0000 0.0000 0.2463
Er2 0.0273 0.5137 0.2400
As1 0.0000 0.5000 0.5000
Se1 0.0000 0.0000 0.0000
Se2 0.0000 0.5000 0.0000
N1 0.0000 0.0000 0.5000
```

***

(8)
BeCdNi2: optimized geometry, PBE-GGA.

Output
**Energy of formation from the pure elements**: 1.663 eV/f.u.

Cell and atoms, written as CIF:
```
data_BeCdNi2
_space_group_name_H-M_alt 'I -4 2 d'
_space_group_IT_number 122
_space_group_name_Hall 'I -4 2bw'
_cell_length_a 3.6610
_cell_length_b 3.6610
_cell_length_c 16.6270
_cell_angle_alpha 90.00
_cell_angle_beta 90.00
_cell_angle_gamma 90.00
loop_
_atom_site_label
_atom_site_fract_x
_atom_site_fract_y
_atom_site_fract_z
Be1 0.0000 0.0000 0.0000
Cd1 0.0000 0.0000 0.5000
Ni1 0.1908 0.2500 0.1250
```

***

What did the sixth record say?
Zn5Ni4Au: optimized geometry, PBE-GGA.

Output
**Energy of formation from the pure elements**: -2.246 eV/f.u.

Cell and atoms, written as CIF:
```
data_Zn5Ni4Au
_space_group_name_H-M_alt 'P 4/m m m'
_space_group_IT_number 123
_space_group_name_Hall '-P 4 2'
_cell_length_a 2.7611
_cell_length_b 2.7611
_cell_length_c 17.0059
_cell_angle_alpha 90.00
_cell_angle_beta 90.00
_cell_angle_gamma 90.00
loop_
_atom_site_label
_atom_site_fract_x
_atom_site_fract_y
_atom_site_fract_z
Zn1 0.0000 0.0000 0.0000
Zn2 0.0000 0.0000 0.1876
Zn3 0.0000 0.0000 0.3766
Ni1 0.5000 0.5000 0.0940
Ni2 0.5000 0.5000 0.2825
Au1 0.5000 0.5000 0.5000
```